# 1
Computed, not measured: a geometry-optimized AsCBr2 structure at the PBE level of DFT.

a b c (Å): 7.064 7.064 9.963
angles (deg): 90.00 90.00 90.00
Fractional coordinates of all 16 atoms:
As 0.000 0.250 0.375
As 0.000 0.750 0.625
As 0.500 0.250 0.125
As 0.500 0.750 0.875
C 0.000 0.250 0.875
C 0.000 0.750 0.125
C 0.500 0.250 0.625
C 0.500 0.750 0.375
Br 0.000 0.000 0.000
Br 0.000 0.500 0.000
Br 0.250 0.250 0.750
Br 0.250 0.750 0.250
Br 0.500 0.000 0.500
Br 0.500 0.500 0.500
Br 0.750 0.250 0.750
Br 0.750 0.750 0.250

Output
SG = I4_1/amd (141)
E = -2.699 eV/atom


# 2
Computed, not measured: a geometry-optimized Be2RuPt structure at the PBE level of DFT.

a b c (Å): 5.837 5.837 5.837
angles (deg): 90.00 90.00 90.00
Fractional coordinates of all 16 atoms:
Be 0.000 0.000 0.000
Be 0.000 0.500 0.500
Be 0.250 0.250 0.250
Be 0.250 0.750 0.750
Be 0.500 0.000 0.500
Be 0.500 0.500 0.000
Be 0.750 0.250 0.750
Be 0.750 0.750 0.250
Ru 0.250 0.250 0.750
Ru 0.250 0.750 0.250
Ru 0.750 0.250 0.250
Ru 0.750 0.750 0.750
Pt 0.000 0.000 0.500
Pt 0.000 0.500 0.000
Pt 0.500 0.000 0.000
Pt 0.500 0.500 0.500

Output
SG = F-43m (216)
Energy of formation = 0.052 eV per atom
E = -5.640 eV/atom


# 3
Computed, not measured: a geometry-optimized SrRh2Br structure at the PBE level of DFT.

a b c (Å): 3.614 5.081 4.839
angles (deg): 90.00 91.15 90.00
Fractional coordinates of all 4 atoms:
Sr 0.000 0.000 0.000
Rh 0.399 0.500 0.750
Rh 0.601 0.500 0.250
Br 0.500 0.000 0.500

Output
SG = P2/m (10)
E = -4.524 eV/atom


# 4
Computed, not measured: a geometry-optimized PuZn3N4 structure at the PBE level of DFT.

a b c (Å): 4.535 6.839 6.524
angles (deg): 90.00 90.00 90.00
Fractional coordinates of all 16 atoms:
Pu 0.250 0.250 0.135
Pu 0.750 0.750 0.865
Zn 0.250 0.508 0.655
Zn 0.250 0.750 0.197
Zn 0.250 0.992 0.655
Zn 0.750 0.008 0.345
Zn 0.750 0.250 0.803
Zn 0.750 0.492 0.345
N 0.250 0.016 0.347
N 0.250 0.250 0.821
N 0.250 0.484 0.347
N 0.250 0.750 0.863
N 0.750 0.250 0.137
N 0.750 0.516 0.653
N 0.750 0.750 0.179
N 0.750 0.984 0.653

Output
SG = Pmmn (59)
E = -6.537 eV/atom


E of number 2 (Be2RuPt)?
-5.640 eV/atom